{"formula": "LiCePa2S4", "functional": "GGA-PBE", "state": "relaxed", "cell": [[3.8587, 0.0000, 0.0000], [0.0000, 6.6999, 0.1185], [0.0000, -2.3407, 6.4534]], "species": ["Pa", "Pa", "Ce", "S", "S", "S", "S", "Li"], "fractional_positions": [[0.0000, 0.5000, 0.5000], [0.5000, 0.0000, 0.5000], [0.0000, 0.0000, 0.0000], [0.5000, 0.7386, 0.7519], [0.5000, 0.2614, 0.2481], [0.0000, 0.2625, 0.7563], [0.0000, 0.7375, 0.2437], [0.5000, 0.5000, 0.0000]], "magnetic_moment_mub_per_cell": 1.25, "n_ef_per_ev_fu": 11.08, "formation_energy_uncorrected_ev_per_fu": -13.08, "total_energy_ev_per_atom": -7.0540}


{"formula": "Ac2Tb2Ho7", "functional": "GGA-PBE", "state": "relaxed", "cell": [[8.6381, -0.7967, 0.6866], [-2.3743, 5.4244, 1.8124], [-1.6154, 0.7967, 8.5134]], "species": ["Ho", "Ho", "Ho", "Ho", "Ho", "Ho", "Ho", "Tb", "Tb", "Ac", "Ac"], "fractional_positions": [[0.5987, 0.8787, 0.4013], [0.0617, 0.3176, 0.4040], [0.4040, 0.6824, 0.0617], [0.0000, 0.5000, 0.0000], [0.4013, 0.1213, 0.5987], [0.9383, 0.6824, 0.5960], [0.5960, 0.3176, 0.9383], [0.7492, 0.5775, 0.2508], [0.2508, 0.4225, 0.7492], [0.7866, 0.0000, 0.7866], [0.2134, 0.0000, 0.2134]], "magnetic_moment_mub_per_cell": 0.00, "n_ef_per_ev_fu": 17.80, "total_energy_ev_per_atom": -4.3160}


{"formula": "La8Sm4Dy", "functional": "GGA-PBE", "state": "relaxed", "cell": [[4.2392, -3.6148, -10.5186], [5.5087, -3.2001, 10.0545], [-6.9369, 0.2090, 3.8671]], "species": ["La", "La", "La", "La", "La", "La", "La", "La", "Sm", "Sm", "Sm", "Sm", "Dy"], "fractional_positions": [[0.4765, 0.2383, 0.7148], [0.5235, 0.7617, 0.2852], [0.1560, 0.8283, 0.9843], [0.6566, 0.8283, 0.9843], [0.8440, 0.1717, 0.0157], [0.1560, 0.3277, 0.9843], [0.3434, 0.1717, 0.0157], [0.8440, 0.6723, 0.0157], [0.0000, 0.0000, 0.0000], [0.5000, 0.0000, 0.0000], [0.5000, 0.5000, 0.0000], [0.0000, 0.5000, 0.0000], [0.0000, 0.5000, 0.5000]], "magnetic_moment_mub_per_cell": 0.00, "n_ef_per_ev_fu": 28.17, "total_energy_ev_per_atom": -4.4685}